No. 1
This record from the Alexandria database describes a relaxed structure of MnBeCr3. The functional is GGA-PBE.

a b c (Å): 4.1891 4.1891 4.1891
angles (deg): 90.00 90.00 90.00
Sites, in units of the cell vectors:
1 Cr 0.0000 0.5000 0.0000
2 Cr 0.0000 0.0000 0.5000
3 Cr 0.5000 0.0000 0.0000
4 Mn 0.0000 0.0000 0.0000
5 Be 0.5000 0.5000 0.5000

Results
energy relative to the lowest polymorph listed for this composition	0.327	eV/atom
energy of formation	1301.6	meV per atom
M_tot	3.42	μB per formula unit

No. 2
This record from the Alexandria database describes a relaxed structure of TaNiPd2Pt. The functional is GGA-PBE.

a b c (Å): 4.1712 5.9878 6.5227
angles (deg): 104.32 90.00 90.00
Sites, in units of the cell vectors:
1 Ni 0.2500 0.8552 0.9707
2 Ni 0.7500 0.1448 0.0293
3 Pd 0.7500 0.5184 0.8779
4 Pd 0.2500 0.5442 0.6250
5 Pd 0.2500 0.4816 0.1221
6 Pd 0.7500 0.4558 0.3750
7 Ta 0.7500 0.8509 0.2618
8 Ta 0.2500 0.1491 0.7382
9 Pt 0.7500 0.8677 0.6739
10 Pt 0.2500 0.1323 0.3261

Results
energy of formation	-255.9	meV per atom
M_tot	0.00	μB per formula unit

No. 3
This record from the Alexandria database describes a relaxed structure of Al2TcSeI. The functional is GGA-PBE.

a b c (Å): 4.9677 5.6147 4.9677
angles (deg): 90.00 90.00 90.00
Sites, in units of the cell vectors:
1 Se 0.0000 0.0000 0.0000
2 Tc 0.5000 0.5000 0.5000
3 Al 0.5000 0.0000 0.0000
4 Al 0.0000 0.0000 0.5000
5 I 0.0000 0.5000 0.0000

Results
uncorrected formation energy	1303.0	meV per atom
M_tot	3.31	μB per formula unit

No. 4
This record from the Alexandria database describes a relaxed structure of SiSb2Au. The functional is GGA-PBE.

a b c (Å): 3.7300 3.7300 6.9967
angles (deg): 90.00 90.00 90.00
Sites, in units of the cell vectors:
1 Au 0.5000 0.5000 0.7427
2 Sb 0.0000 0.0000 0.9075
3 Sb 0.5000 0.5000 0.3412
4 Si 0.0000 0.0000 0.5086

Results
uncorrected formation energy	232.8	meV per atom
M_tot	0.00	μB per formula unit

No. 5
This record from the Alexandria database describes a relaxed structure of Er3Al2Tl2. The functional is GGA-PBE.

a b c (Å): 4.3874 3.5287 11.1502
angles (deg): 90.00 78.65 90.00
Sites, in units of the cell vectors:
1 Er 0.0000 0.0000 0.0000
2 Er 0.1641 0.0000 0.6718
3 Er 0.8359 0.0000 0.3282
4 Tl 0.4201 0.5000 0.1597
5 Tl 0.5799 0.5000 0.8403
6 Al 0.7180 0.5000 0.5641
7 Al 0.2820 0.5000 0.4359

Results
energy of formation	-371.1	meV per atom
M_tot	0.12	μB per formula unit

No. 6
This record from the Alexandria database describes a relaxed structure of MgCo4Tc. The functional is GGA-PBE.

a b c (Å): 4.7675 4.7675 4.7675
angles (deg): 60.00 60.00 60.00
Sites, in units of the cell vectors:
1 Tc 0.0000 0.0000 0.0000
2 Co 0.3748 0.8757 0.3748
3 Co 0.8757 0.3748 0.3748
4 Co 0.3748 0.3748 0.8757
5 Co 0.3748 0.3748 0.3748
6 Mg 0.7500 0.7500 0.7500

Results
energy of formation	113.9	meV per atom
M_tot	8.09	μB per formula unit

No. 7
This record from the Alexandria database describes a relaxed structure of Ba2CdPPd6. The functional is GGA-PBE.

a b c (Å): 6.5254 7.3560 7.3988
angles (deg): 48.59 68.71 91.38
Sites, in units of the cell vectors:
1 Pd 0.2603 0.7395 0.9307
2 Pd 0.7406 0.8044 0.5227
3 Pd 0.8501 0.7437 0.8929
4 Pd 0.2594 0.1956 0.4773
5 Pd 0.7397 0.2605 0.0693
6 Pd 0.1499 0.2563 0.1071
7 P 0.5000 0.5000 0.0000
8 Ba 0.2735 0.7293 0.4554
9 Ba 0.7265 0.2707 0.5445
10 Cd 0.0000 0.0000 0.0000

Results
energy of formation	-586.0	meV per atom
M_tot	0.00	μB per formula unit

No. 8
This record from the Alexandria database describes a relaxed structure of Ga6Ag12Hg. The functional is GGA-PBE.

a b c (Å): 7.3095 7.3095 7.3095
angles (deg): 101.51 101.51 101.51
Sites, in units of the cell vectors:
1 Ag 0.8252 0.3248 0.9755
2 Ag 0.6752 0.0245 0.1748
3 Ag 0.1748 0.6752 0.0245
4 Ag 0.0245 0.1748 0.6752
5 Ag 0.1805 0.5616 0.6345
6 Ag 0.4384 0.3655 0.8195
7 Ag 0.9755 0.8252 0.3248
8 Ag 0.3248 0.9755 0.8252
9 Ag 0.5616 0.6345 0.1805
10 Ag 0.6345 0.1805 0.5616
11 Ag 0.8195 0.4384 0.3655
12 Ag 0.3655 0.8195 0.4384
13 Ga 0.5593 0.7412 0.8322
14 Ga 0.2588 0.1678 0.4407
15 Ga 0.8322 0.5593 0.7412
16 Ga 0.1678 0.4407 0.2588
17 Ga 0.4407 0.2588 0.1678
18 Ga 0.7412 0.8322 0.5593
19 Hg 0.0000 0.0000 0.0000

Results
energy of formation	68.6	meV per atom
M_tot	0.00	μB per formula unit